1.
Below is a relaxed structure of Cs2GeSb, with properties calculated at the GGA-PBE level.

Lattice parameters (Å, degrees): 7.4755 7.4755 7.4755 145.54 89.66 100.45
Element x y z (fractional)
1 Cs 0.2412 0.0000 0.2412
2 Cs 0.7588 0.0000 0.7588
3 Ge 0.1670 0.6670 0.5000
4 Sb 0.3335 0.3335 0.0000

Output
DFT total energy, eV/atom: -2.852
Magnetization, Bohr magnetons per cell: 0.000
SG: Imm2, No. 44
E above lowest polymorph, meV per atom: 60

=====

2.
Below is a relaxed structure of In2HgW, with properties calculated at the GGA-PBE level.

Lattice parameters (Å, degrees): 2.9718 2.9718 9.8254 90.00 90.00 90.00
Element x y z (fractional)
1 In 0.0000 0.0000 0.2200
2 In 0.0000 0.0000 0.7800
3 Hg 0.5000 0.5000 0.5000
4 W 0.5000 0.5000 0.0000

Output
DFT total energy, eV/atom: -4.162
Magnetization, Bohr magnetons per cell: 0.000
SG: P4/mmm, No. 123
Formation energy from the elements, eV/atom: 0.52

=====

What did the first record say?
Below is a relaxed structure of Cs2GeSb, with properties calculated at the GGA-PBE level.

Lattice parameters (Å, degrees): 7.4755 7.4755 7.4755 145.54 89.66 100.45
Element x y z (fractional)
1 Cs 0.2412 0.0000 0.2412
2 Cs 0.7588 0.0000 0.7588
3 Ge 0.1670 0.6670 0.5000
4 Sb 0.3335 0.3335 0.0000

Output
DFT total energy, eV/atom: -2.852
Magnetization, Bohr magnetons per cell: 0.000
SG: Imm2, No. 44
E above lowest polymorph, meV per atom: 60

=====

magnetization of number 2 (In2HgW)? 0.000 Bohr magnetons per cell

=====

What did the second record say?
Below is a relaxed structure of In2HgW, with properties calculated at the GGA-PBE level.

Lattice parameters (Å, degrees): 2.9718 2.9718 9.8254 90.00 90.00 90.00
Element x y z (fractional)
1 In 0.0000 0.0000 0.2200
2 In 0.0000 0.0000 0.7800
3 Hg 0.5000 0.5000 0.5000
4 W 0.5000 0.5000 0.0000

Output
DFT total energy, eV/atom: -4.162
Magnetization, Bohr magnetons per cell: 0.000
SG: P4/mmm, No. 123
Formation energy from the elements, eV/atom: 0.52

=====

What did the second record say?
Below is a relaxed structure of In2HgW, with properties calculated at the GGA-PBE level.

Lattice parameters (Å, degrees): 2.9718 2.9718 9.8254 90.00 90.00 90.00
Element x y z (fractional)
1 In 0.0000 0.0000 0.2200
2 In 0.0000 0.0000 0.7800
3 Hg 0.5000 0.5000 0.5000
4 W 0.5000 0.5000 0.0000

Output
DFT total energy, eV/atom: -4.162
Magnetization, Bohr magnetons per cell: 0.000
SG: P4/mmm, No. 123
Formation energy from the elements, eV/atom: 0.52